The following is a DFT calculation (GGA-PBE) of BaAgIF2 after structural relaxation.

Output
- Calculated total energy: -4.15 eV/atom
- Space-group type: No. 63
- Magnetization: 0.00 μB per cell

abc: 6.6089 5.5569 7.4676
angles: 111.84 90.00 90.00
Fractional coordinates of all 10 atoms:
I  0.7500  0.7171  0.4343
I  0.2500  0.2829  0.5657
F  0.5000  0.7579  0.0000
F  0.0000  0.7579  0.0000
F  0.5000  0.2421  0.0000
F  0.0000  0.2421  0.0000
Ag  0.7500  0.1014  0.2028
Ag  0.2500  0.8986  0.7972
Ba  0.2500  0.5959  0.1917
Ba  0.7500  0.4041  0.8083

---

The following is a DFT calculation (GGA-PBE) of BaInAgF6 after structural relaxation.

Output
- Calculated total energy: -4.73 eV/atom
- Space-group type: No. 149
- Magnetization: 0.14 μB per cell

abc: 5.4683 6.0573 6.0573
angles: 120.00 90.00 90.00
Fractional coordinates of all 9 atoms:
In  0.5000  0.0000  0.0000
F  0.7183  0.2867  0.9963
F  0.7183  0.0037  0.2904
F  0.2817  0.0037  0.7133
F  0.2817  0.7096  0.9963
F  0.7183  0.7096  0.7133
F  0.2817  0.2867  0.2904
Ag  0.5000  0.6667  0.3333
Ba  0.0000  0.3333  0.6667

---

The following is a DFT calculation (GGA-PBE) of KBaAgF6 after structural relaxation.

Output
- Calculated total energy: -4.25 eV/atom
- Space-group type: No. 5
- Magnetization: 2.00 μB per cell

abc: 6.1837 6.1838 5.4507
angles: 90.01 89.99 59.91
Fractional coordinates of all 9 atoms:
F  0.6237  0.3187  0.7233
F  0.6256  0.0568  0.2784
F  0.0568  0.6256  0.7216
F  0.3187  0.6237  0.2766
F  0.0579  0.3176  0.2772
F  0.3176  0.0580  0.7228
Ba  0.9999  0.9999  0.0000
K  0.6663  0.6664  0.5000
Ag  0.3333  0.3334  0.5000